# PBE-GGA Ti6NiC3, optimized geometry
# N(E_F) = 6.0 states/eV/f.u.
# Final energy = -86.43 eV/f.u.
# Calculated formation energy = -0.561 eV per atom
data_Ti6NiC3
_chemical_formula_sum 'Ti12 Ni2 C6'
_symmetry_space_group_name_H-M 'P 1'
_symmetry_Int_Tables_number 1
_cell_length_a 3.1249
_cell_length_b 9.3491
_cell_length_c 9.3197
_cell_angle_alpha 112.69
_cell_angle_beta 90.00
_cell_angle_gamma 90.00
loop_
_symmetry_equiv_pos_as_xyz
'x,y,z'
loop_
_atom_site_label
_atom_site_fract_x
_atom_site_fract_y
_atom_site_fract_z
Ti1 0.2500 0.8716 0.5423
Ti2 0.7500 0.9336 0.0855
Ti3 0.7500 0.4624 0.6071
Ti4 0.2500 0.2958 0.7419
Ti5 0.2500 0.6187 0.9582
Ti6 0.7500 0.7750 0.7536
Ti7 0.7500 0.7042 0.2581
Ti8 0.2500 0.0664 0.9145
Ti9 0.2500 0.2250 0.2464
Ti10 0.2500 0.5376 0.3929
Ti11 0.7500 0.1284 0.4577
Ti12 0.7500 0.3813 0.0418
C1 0.2500 0.8383 0.9165
C2 0.7500 0.6930 0.4927
C3 0.7500 0.4637 0.8400
C4 0.2500 0.3070 0.5073
C5 0.7500 0.1617 0.0835
C6 0.2500 0.5363 0.1600
Ni1 0.7500 0.0759 0.7096
Ni2 0.2500 0.9241 0.2904